## 1
The following is a PBE with a Hubbard U calculation of a relaxed structure of FeH2F6, from Alexandria.

Cell and atoms, written as POSCAR:
```
FeH2F6
1.0
2.220 1.282 4.870
-2.220 1.282 4.870
0.000 -2.564 4.870
Fe H F
1 2 6
Direct
0.000 0.000 0.000
0.590 0.590 0.590
0.743 0.743 0.743
0.040 0.760 0.425
0.274 0.610 0.890
0.425 0.040 0.760
0.610 0.890 0.274
0.760 0.425 0.040
0.890 0.274 0.610
```

=====

## 2
The following is a PBE with a Hubbard U calculation of a relaxed structure of FeH2F6, from Alexandria.

Cell and atoms, written as POSCAR:
```
FeH2F6
1.0
5.373 -4.574 0.000
5.373 4.574 0.000
-0.605 0.000 4.840
Fe H F
2 4 12
Direct
0.100 0.900 0.750
0.900 0.100 0.250
0.349 0.379 0.156
0.379 0.349 0.656
0.621 0.651 0.344
0.651 0.621 0.844
0.043 0.151 0.620
0.127 0.665 0.849
0.151 0.043 0.120
0.310 0.420 0.340
0.335 0.873 0.651
0.420 0.310 0.840
0.580 0.690 0.160
0.665 0.127 0.349
0.690 0.580 0.660
0.849 0.957 0.880
0.873 0.335 0.151
0.957 0.849 0.380
```

=====

Energies in meV/atom, measured from the most stable structure: 1 391; 2 0.

=====

## 1
The following is a PBE with a Hubbard U calculation of a relaxed structure of FeHNF2, from Alexandria.

Cell and atoms, written as POSCAR:
```
FeHNF2
1.0
3.945 0.000 0.000
0.000 3.945 0.000
0.000 0.000 4.099
Fe H N F
1 1 1 2
Direct
0.000 0.000 0.000
0.500 0.500 0.500
0.000 0.000 0.500
0.000 0.500 0.000
0.500 0.000 0.000
```

=====

## 2
The following is a PBE with a Hubbard U calculation of a relaxed structure of FeHNF2, from Alexandria.

Cell and atoms, written as POSCAR:
```
FeHNF2
1.0
4.052 0.000 0.000
0.000 4.052 0.000
0.000 0.000 2.700
Fe H N F
1 1 1 2
Direct
0.000 0.000 0.000
0.500 0.500 0.500
0.500 0.500 0.000
0.000 0.500 0.500
0.500 0.000 0.500
```

=====

Energies in meV/atom, measured from the most stable structure: 1 0; 2 57.

=====

## 1
The following is a PBE with a Hubbard U calculation of a relaxed structure of HfFe3F, from Alexandria.

Cell and atoms, written as POSCAR:
```
HfFe3F
1.0
5.139 0.000 0.000
0.000 5.139 0.000
0.000 0.000 5.139
Hf Fe F
1 3 1
Direct
0.000 0.000 0.000
0.000 0.000 0.500
0.000 0.500 0.000
0.500 0.000 0.000
0.500 0.500 0.500
```

=====

## 2
The following is a PBE with a Hubbard U calculation of a relaxed structure of HfFe3F, from Alexandria.

Cell and atoms, written as POSCAR:
```
HfFe3F
1.0
4.386 0.000 0.000
0.000 4.386 0.000
0.000 0.000 4.386
Hf Fe F
1 3 1
Direct
0.000 0.000 0.000
0.000 0.500 0.500
0.500 0.000 0.500
0.500 0.500 0.000
0.500 0.500 0.500
```

=====

Energies in meV/atom, measured from the most stable structure: 1 1342; 2 0.